Record 1
Computed, not measured: V2GeHRu after structural relaxation at the PBE level of DFT.

Cell lengths 3.8012, 3.8012, 3.9450 Å; angles 90.00, 90.00, 90.00 degrees
Sites, in units of the cell vectors:
H 0.0000 0.0000 0.0000
Ru 0.0000 0.0000 0.5000
V 0.0000 0.5000 0.0000
V 0.5000 0.0000 0.0000
Ge 0.5000 0.5000 0.5000

Calculated values
Fermi-level density of states = 4.4 states/eV/cell
E_tot = -7.294 eV/atom

***

Record 2
Computed, not measured: VGeHRu2 after structural relaxation at the PBE level of DFT.

Cell lengths 4.0021, 4.0021, 3.6358 Å; angles 90.00, 90.00, 90.00 degrees
Last column: magnetic moment on the atom in μB.
Sites, in units of the cell vectors:
Ru 0.5000 0.0000 0.0000  -0.05
Ru 0.0000 0.5000 0.0000  -0.05
V 0.0000 0.0000 0.5000  1.05
Ge 0.5000 0.5000 0.5000  -0.01
H 0.0000 0.0000 0.0000  0.00

Calculated values
Fermi-level density of states = 5.0 states/eV/cell
E_tot = -7.214 eV/atom

***

Record 3
Computed, not measured: Y2GeHRu after structural relaxation at the PBE level of DFT.

Cell lengths 4.8624, 4.8624, 3.7035 Å; angles 90.00, 90.00, 90.00 degrees
Sites, in units of the cell vectors:
H 0.0000 0.0000 0.0000
Ru 0.0000 0.0000 0.5000
Y 0.0000 0.5000 0.0000
Y 0.5000 0.0000 0.0000
Ge 0.5000 0.5000 0.5000

Calculated values
Fermi-level density of states = 3.1 states/eV/cell
E_tot = -6.577 eV/atom

***

Record 4
Computed, not measured: Zn2GeHRu after structural relaxation at the PBE level of DFT.

Cell lengths 4.8554, 3.1568, 4.8554 Å; angles 90.00, 90.00, 90.00 degrees
Last column: magnetic moment on the atom in μB.
Sites, in units of the cell vectors:
H 0.0000 0.5000 0.0000  0.00
Ru 0.5000 0.5000 0.5000  1.24
Zn 0.0000 0.0000 0.5000  0.00
Zn 0.5000 0.0000 0.0000  -0.02
Ge 0.0000 0.0000 0.0000  0.05

Calculated values
Fermi-level density of states = 1.9 states/eV/cell
E_tot = -3.274 eV/atom

***

Record 5
Computed, not measured: Zr2GeHRu after structural relaxation at the PBE level of DFT.

Cell lengths 4.4159, 4.4159, 3.8421 Å; angles 90.00, 90.00, 90.00 degrees
Sites, in units of the cell vectors:
Zr 0.5000 0.0000 0.0000
Zr 0.0000 0.5000 0.0000
Ge 0.5000 0.5000 0.5000
H 0.0000 0.0000 0.0000
Ru 0.0000 0.0000 0.5000

Calculated values
Fermi-level density of states = 3.8 states/eV/cell
E_tot = -7.343 eV/atom

***

Record 6
Computed, not measured: GeHS after structural relaxation at the PBE level of DFT.

Cell lengths 4.3195, 4.7524, 9.3111 Å; angles 127.65, 75.17, 79.25 degrees
Sites, in units of the cell vectors:
S 0.5009 0.7174 0.0229
H 0.3266 0.5079 0.9337
H 0.9340 0.7505 0.6270
Ge 0.9520 0.4222 0.2327
S 0.7587 0.5417 0.5386
Ge 0.3040 0.8375 0.3288

Calculated values
ΔE to the lowest computed polymorph = 55 meV/atom
Fermi-level density of states = 0.1 states/eV/cell
E_tot = -4.066 eV/atom

***

Record 7
Computed, not measured: Ge3HS after structural relaxation at the PBE level of DFT.

Cell lengths 5.0063, 5.0063, 5.0063 Å; angles 90.00, 90.00, 90.00 degrees
Last column: magnetic moment on the atom in μB.
Sites, in units of the cell vectors:
Ge 0.0000 0.5000 0.0000  0.00
Ge 0.0000 0.0000 0.5000  -0.01
H 0.5000 0.5000 0.5000  0.08
S 0.0000 0.0000 0.0000  -0.01
Ge 0.5000 0.0000 0.0000  0.00

Calculated values
ΔE to the lowest computed polymorph = 521 meV/atom
Fermi-level density of states = 2.9 states/eV/cell
E_tot = -3.204 eV/atom

***

Record 8
Computed, not measured: Ge2HS after structural relaxation at the PBE level of DFT.

Cell lengths 4.4595, 4.4595, 4.4595 Å; angles 60.00, 60.00, 60.00 degrees
Sites, in units of the cell vectors:
Ge 0.7500 0.7500 0.7500
Ge 0.2500 0.2500 0.2500
S 0.5000 0.5000 0.5000
H 0.0000 0.0000 0.0000

Calculated values
ΔE to the lowest computed polymorph = 203 meV/atom
Fermi-level density of states = 1.4 states/eV/cell
E_tot = -3.627 eV/atom

***

Record 9
Computed, not measured: GeH3S after structural relaxation at the PBE level of DFT.

Cell lengths 3.7818, 9.0231, 9.5799 Å; angles 93.17, 90.00, 90.00 degrees
Sites, in units of the cell vectors:
S 0.5824 0.4818 0.2985
H 0.1365 0.9308 0.1711
H 0.6434 0.7764 0.0894
S 0.0824 0.5182 0.2015
S 0.4176 0.5182 0.7015
Ge 0.3686 0.8885 0.0435
H 0.3566 0.2236 0.9106
H 0.3584 0.8104 0.4286
Ge 0.1314 0.8885 0.5435
H 0.8566 0.7764 0.5894
S 0.9176 0.4818 0.7985
H 0.8584 0.1896 0.0714
H 0.8635 0.0692 0.8289
H 0.1416 0.8104 0.9286
H 0.6416 0.1896 0.5714
Ge 0.8686 0.1115 0.4565
H 0.1434 0.2236 0.4106
Ge 0.6314 0.1115 0.9565
H 0.6365 0.0692 0.3289
H 0.3635 0.9308 0.6711

Calculated values
ΔE to the lowest computed polymorph = 0 meV/atom
E_tot = -3.588 eV/atom

***

Record 10
Computed, not measured: Ge3HS3 after structural relaxation at the PBE level of DFT.

Cell lengths 8.9799, 9.1947, 7.4184 Å; angles 101.01, 35.78, 89.05 degrees
Sites, in units of the cell vectors:
S 0.3722 0.7888 0.5684
S 0.6278 0.2112 0.4316
S 0.2186 0.0492 0.4521
S 0.9826 0.5162 0.2942
Ge 0.4051 0.1370 0.8634
S 0.7814 0.9508 0.5479
H 0.3874 0.2622 0.0593
Ge 0.5949 0.8630 0.1366
H 0.6126 0.7378 0.9407
Ge 0.0720 0.8499 0.6452
S 0.0174 0.4838 0.7058
Ge 0.9280 0.1501 0.3548
Ge 0.7665 0.4261 0.7106
Ge 0.2335 0.5739 0.2894

Calculated values
E_tot = -4.279 eV/atom

***

Record 11
Computed, not measured: GeH3S after structural relaxation at the PBE level of DFT.

Cell lengths 3.6587, 3.6587, 3.6587 Å; angles 90.00, 90.00, 90.00 degrees
Sites, in units of the cell vectors:
H 0.0000 0.0000 0.5000
Ge 0.0000 0.0000 0.0000
S 0.5000 0.5000 0.5000
H 0.0000 0.5000 0.0000
H 0.5000 0.0000 0.0000

Calculated values
ΔE to the lowest computed polymorph = 602 meV/atom
Fermi-level density of states = 2.9 states/eV/cell
E_tot = -2.986 eV/atom

***

Record 12
Computed, not measured: GeH3S after structural relaxation at the PBE level of DFT.

Cell lengths 3.6046, 3.6046, 3.6046 Å; angles 90.00, 90.00, 90.00 degrees
Sites, in units of the cell vectors:
H 0.0000 0.0000 0.5000
Ge 0.5000 0.5000 0.5000
H 0.5000 0.0000 0.0000
S 0.0000 0.0000 0.0000
H 0.0000 0.5000 0.0000

Calculated values
ΔE to the lowest computed polymorph = 646 meV/atom
Fermi-level density of states = 1.5 states/eV/cell
E_tot = -2.942 eV/atom

***

Record 13
Computed, not measured: GeHS after structural relaxation at the PBE level of DFT.

Cell lengths 4.8141, 5.5991, 6.2815 Å; angles 83.99, 62.86, 98.09 degrees
Sites, in units of the cell vectors:
H 0.2258 0.9706 0.0306
Ge 0.2789 0.7205 0.9534
Ge 0.8484 0.5124 0.8860
H 0.9014 0.2624 0.8084
S 0.3618 0.4705 0.2154
S 0.7653 0.7624 0.6239

Calculated values
ΔE to the lowest computed polymorph = 0 meV/atom
Fermi-level density of states = 0.0 states/eV/cell
E_tot = -4.121 eV/atom